A geometry-optimized Sm2DyAg structure, computed with GGA-PBE.

The structure in CIF format:
```
data_Sm2DyAg
_chemical_formula_sum 'Sm8 Dy4 Ag4'
_cell_length_a 4.721
_cell_length_b 11.720
_cell_length_c 8.610
_cell_angle_alpha 90.00
_cell_angle_beta 90.00
_cell_angle_gamma 90.00
_space_group_name_H-M_alt 'C m c m'
_space_group_IT_number 63
_space_group_name_Hall '-C 2c 2'
loop_
_atom_site_label
_atom_site_type_symbol
_atom_site_fract_x
_atom_site_fract_y
_atom_site_fract_z
Sm1 Sm 0.000 0.140 0.042
Dy1 Dy 0.000 0.450 0.250
Ag1 Ag 0.000 0.277 0.750
```

* DFT formation energy: -0.051 eV per atom
* density of states at the Fermi level: 4.37 states/eV/f.u.
* distance to the lowest polymorph of the same formula: 0.057 eV/atom
* ρ: 7.96 g cm⁻³
* total magnetization: 0.0000 μB/atom